1.
# CoSN2

A relaxed CoSN2 crystal (GGA-PBE, the Alexandria database).

```
CoSN2
1.0
6.8270 0.0000 0.0001
0.0000 2.6300 0.0000
-0.4291 0.0000 5.6275
Co S N
2 2 4
direct
0.7916 0.5000 0.4440
0.7916 0.0000 0.9440
0.2352 0.0000 0.4918
0.2352 0.5000 0.9918
0.7178 0.5000 0.7451
0.0776 0.5000 0.4746
0.7178 0.0000 0.2451
0.0776 0.0000 0.9746
```

Summary:
The volume comes out at 12.63 Å³ per atom. Its energy relative to the elements, uncorrected is 0.61 eV per atom. As for the crystal system: monoclinic.

2.
# AcHgPO5

A relaxed AcHgPO5 crystal (GGA-PBE, the Alexandria database).

```
AcHgPO5
1.0
6.1896 0.6947 -0.1857
-1.1424 6.1228 -0.1857
-2.3386 -3.1588 8.0401
O P Hg Ac
10 2 2 2
direct
0.1120 0.8880 0.2500
0.8880 0.1120 0.7500
0.7934 0.2885 0.1307
0.2066 0.7115 0.8693
0.7115 0.2066 0.3693
0.3869 0.2914 0.1448
0.6131 0.7086 0.8552
0.7086 0.6131 0.3552
0.2885 0.7934 0.6307
0.2914 0.3869 0.6448
0.3426 0.6574 0.7500
0.6574 0.3426 0.2500
0.6660 0.3340 0.7500
0.3340 0.6660 0.2500
0.0000 0.0000 0.5000
0.0000 0.0000 0.0000
```

Summary:
The volume comes out at 19.03 Å³ per atom. Its energy relative to the elements, uncorrected is -2.23 eV per atom. As for the crystal system: monoclinic.

3.
# La7Sm2Dy2

A relaxed La7Sm2Dy2 crystal (GGA-PBE, the Alexandria database).

```
La7Sm2Dy2
1.0
-1.6490 11.0877 2.2548
-5.6810 -3.3454 -0.4776
-1.7440 -3.8851 5.0555
Dy Sm La
2 2 7
direct
0.0000 0.2520 0.7480
0.0000 0.7480 0.2520
0.6910 0.8348 0.8348
0.3090 0.1652 0.1652
0.3579 0.6154 0.6154
0.1740 0.6018 0.0629
0.8260 0.3982 0.9371
0.1740 0.0629 0.6018
0.6421 0.3846 0.3846
0.5000 0.0000 0.0000
0.8260 0.9371 0.3982
```

Summary:
The volume comes out at 35.93 Å³ per atom. As for the crystal system: monoclinic. As for the energy of formation: 208 meV per atom.

4.
# Bi2Te2Pt

A relaxed Bi2Te2Pt crystal (GGA-PBE, the Alexandria database).

```
Bi2Te2Pt
1.0
4.4570 0.1478 -0.7747
0.0427 4.4592 -0.7747
-0.2738 -0.2803 16.6759
Bi Pt Te
4 2 4
direct
0.2253 0.1053 0.5863
0.8947 0.7747 0.4137
0.3553 0.9753 0.0863
0.0247 0.6447 0.9137
0.6504 0.3496 0.5000
0.5996 0.4004 0.0000
0.9231 0.5859 0.1464
0.8359 0.6731 0.6464
0.3269 0.1641 0.3536
0.4141 0.0769 0.8536
```

Summary:
The volume comes out at 32.95 Å³ per atom. Its energy relative to the elements, uncorrected is -0.18 eV per atom. As for the crystal system: monoclinic.

5.
# GdTlH

A relaxed GdTlH crystal (GGA-PBE, the Alexandria database).

```
GdTlH
1.0
-1.9755 1.7238 -1.9468
-2.4456 -2.0625 0.6555
0.6091 3.5307 5.2471
H Tl Gd
1 1 1
direct
0.2636 0.2636 0.5273
0.0043 0.0043 0.0085
0.7321 0.7321 0.4642
```

Summary:
The volume comes out at 21.04 Å³ per atom. As for the crystal system: tetragonal. Its total energy is -20.4 eV per formula unit.

6.
# PaZnH2

A relaxed PaZnH2 crystal (GGA-PBE, the Alexandria database).

```
PaZnH2
1.0
3.2613 0.0000 0.0000
1.6306 2.8243 0.0000
1.6306 0.9414 5.7858
H Zn Pa
2 1 1
direct
0.1006 0.1006 0.6983
0.8994 0.8994 0.3017
0.0000 0.0000 0.0000
0.5000 0.5000 0.5000
```

Summary:
The volume comes out at 13.32 Å³ per atom. As for the crystal system: trigonal. Its total energy is -17.5 eV per formula unit.

7.
# ThZr2Ti

A relaxed ThZr2Ti crystal (GGA-PBE, the Alexandria database).

```
ThZr2Ti
1.0
3.2353 0.0000 0.0000
1.6176 2.8018 0.0000
1.6176 0.9339 10.5604
Ti Zr Th
1 2 1
direct
0.0000 0.0000 0.0000
0.2584 0.2584 0.2249
0.7416 0.7416 0.7751
0.5000 0.5000 0.5000
```

Summary:
The volume comes out at 23.93 Å³ per atom. As for the crystal system: trigonal. As for the energy of formation: 192 meV per atom.

8.
# Ta2SbP

A relaxed Ta2SbP crystal (GGA-PBE, the Alexandria database).

```
Ta2SbP
1.0
3.4111 0.0000 0.0000
0.0000 3.4111 0.0000
0.0000 0.0000 6.3451
Sb Ta P
1 2 1
direct
0.5000 0.5000 0.7701
0.0000 0.0000 0.0133
0.5000 0.5000 0.2916
0.0000 0.0000 0.4250
```

Summary:
The volume comes out at 18.46 Å³ per atom. Its energy relative to the elements, uncorrected is -0.39 eV per atom. As for the crystal system: tetragonal.

9.
# Mg8AlAu2

A relaxed Mg8AlAu2 crystal (GGA-PBE, the Alexandria database).

```
Mg8AlAu2
1.0
4.4756 0.0686 -1.3063
-0.8576 6.0197 -2.6371
0.1240 -0.0294 8.3839
Mg Al Au
8 1 2
direct
0.6407 0.2386 0.9173
0.9306 0.4436 0.4991
0.1341 0.5237 0.9033
0.3396 0.8683 0.3154
0.3041 0.3573 0.2403
0.9692 0.0241 0.5797
0.5241 0.7419 0.6842
0.7395 0.9397 0.1143
0.1367 0.9563 0.9088
0.8047 0.6147 0.2415
0.4766 0.2917 0.5960
```

Summary:
The volume comes out at 20.63 Å³ per atom. As for the crystal system: triclinic. As for the energy of formation: -264 meV per atom.

10.
# VMoOs2

A relaxed VMoOs2 crystal (GGA-PBE, the Alexandria database).

```
VMoOs2
1.0
2.9036 0.0000 0.0000
0.0000 2.9036 0.0000
0.0000 0.0000 6.9020
Mo V Os
1 1 2
direct
0.5000 0.5000 0.5000
0.5000 0.5000 0.0000
0.0000 0.0000 0.2232
0.0000 0.0000 0.7768
```

Summary:
The volume comes out at 14.55 Å³ per atom. As for the crystal system: tetragonal. As for the energy of formation: -62 meV per atom.

11.
# BaCl

A relaxed BaCl crystal (GGA-PBE, the Alexandria database).

```
BaCl
1.0
8.7467 0.0000 0.0000
0.0000 8.7467 0.0000
0.0000 0.0000 8.7467
Cl Ba
6 6
direct
0.0000 0.5000 0.7500
0.5000 0.7500 0.0000
0.2500 0.0000 0.5000
0.5000 0.2500 0.0000
0.7500 0.0000 0.5000
0.0000 0.5000 0.2500
0.7500 0.5000 0.0000
0.5000 0.0000 0.2500
0.0000 0.2500 0.5000
0.2500 0.5000 0.0000
0.5000 0.0000 0.7500
0.0000 0.7500 0.5000
```

Summary:
The volume comes out at 55.76 Å³ per atom. Its energy relative to the elements, uncorrected is -1.55 eV per atom. As for the crystal system: cubic.

12.
# CsAgIO2

A relaxed CsAgIO2 crystal (GGA-PBE, the Alexandria database).

```
CsAgIO2
1.0
-3.7965 -0.5083 2.0410
-1.9323 -0.8209 -3.7986
1.5290 -7.7862 0.9049
O Ag I Cs
2 1 1 1
direct
0.5000 0.0000 0.0000
0.0000 0.5000 0.0000
0.5000 0.5000 0.5000
0.0000 0.0000 0.5000
0.0000 0.0000 0.0000
```

Summary:
The volume comes out at 30.09 Å³ per atom. Its energy relative to the elements, uncorrected is 0.36 eV per atom. As for the crystal system: tetragonal.